No. 1
VASP calculation (PBE) on a geometry-optimized RbCuAgTe structure.

Cell: 4.144 4.144 13.739 Å, 90.00 90.00 90.00°
Element x y z (fractional)
Rb: 0.750 0.750 0.272
Rb: 0.250 0.250 0.728
Cu: 0.750 0.250 0.000
Cu: 0.250 0.750 0.000
Ag: 0.250 0.750 0.500
Ag: 0.750 0.250 0.500
Te: 0.750 0.750 0.882
Te: 0.250 0.250 0.118

Total magnetic moment (μB per atom): 0.00
DFT total energy (eV for the cell shown): -23.94
SG: P4/nmm
Formation energy without anion corrections (eV per atom): -0.2284

---

No. 2
VASP calculation (PBE) on a geometry-optimized Pm6HoIn structure.

Cell: 4.996 4.996 10.253 Å, 90.00 90.00 90.00°
Element x y z (fractional)
Pm: 0.500 0.500 0.000
Pm: 0.500 0.500 0.500
Pm: 0.500 0.000 0.244
Pm: 0.500 0.000 0.756
Pm: 0.000 0.500 0.244
Pm: 0.000 0.500 0.756
Ho: 0.000 0.000 0.500
In: 0.000 0.000 0.000

Formation enthalpy at 0 K (meV/atom): -121
Total magnetic moment (μB per atom): 0.00
DFT total energy (eV for the cell shown): -36.79
SG: P4/mmm

---

No. 3
VASP calculation (PBE) on a geometry-optimized RbSeBr3 structure.

Cell: 8.691 5.174 5.631 Å, 65.50 111.54 106.01°
Element x y z (fractional)
Rb: 0.359 0.952 0.526
Br: 0.184 0.575 0.078
Br: 0.882 0.914 0.188
Br: 0.544 0.330 0.978
Se: 0.866 0.428 0.040

Total magnetic moment (μB per atom): 0.00
DFT total energy (eV for the cell shown): -13.21
SG: P1
Formation energy without anion corrections (eV per atom): -0.7469

---

Please write out number 1 again, unchanged.
VASP calculation (PBE) on a geometry-optimized RbCuAgTe structure.

Cell: 4.144 4.144 13.739 Å, 90.00 90.00 90.00°
Element x y z (fractional)
Rb: 0.750 0.750 0.272
Rb: 0.250 0.250 0.728
Cu: 0.750 0.250 0.000
Cu: 0.250 0.750 0.000
Ag: 0.250 0.750 0.500
Ag: 0.750 0.250 0.500
Te: 0.750 0.750 0.882
Te: 0.250 0.250 0.118

Total magnetic moment (μB per atom): 0.00
DFT total energy (eV for the cell shown): -23.94
SG: P4/nmm
Formation energy without anion corrections (eV per atom): -0.2284